# NdGaBIr2 | Alexandria via LeMat-Bulk | PBE | relaxed
# M_tot = 0.000 μB per formula unit
# energy of formation = -0.65 eV per atom
# VASP energy = -7.093 eV per atom
data_NdGaBIr2
_chemical_formula_sum 'Nd2 Ga2 B2 Ir4'
_symmetry_space_group_name_H-M 'P 1'
_symmetry_Int_Tables_number 1
_symmetry_space_group_name_Hall 'P 1'
_cell_length_a 4.1168
_cell_length_b 6.0070
_cell_length_c 7.4037
_cell_angle_alpha 90.00
_cell_angle_beta 90.00
_cell_angle_gamma 110.04
loop_
_atom_site_label
_atom_site_type_symbol
_atom_site_fract_x
_atom_site_fract_y
_atom_site_fract_z
Ir1 Ir 0.1666 0.3332 0.9397
Ir2 Ir 0.8334 0.6669 0.0603
Ir3 Ir 0.1666 0.3332 0.5603
Ir4 Ir 0.8334 0.6669 0.4397
Nd1 Nd 0.4469 0.8938 0.7500
Nd2 Nd 0.5531 0.1062 0.2500
B1 B 0.0000 0.0000 0.5000
B2 B 0.0000 0.0000 0.0000
Ga1 Ga 0.2713 0.5427 0.2500
Ga2 Ga 0.7287 0.4573 0.7500

***

# GaNi2BIr | Alexandria via LeMat-Bulk | PBE | relaxed
# M_tot = 0.000 μB per formula unit
# energy of formation = -0.20 eV per atom
# VASP energy = -6.227 eV per atom
data_GaNi2BIr
_chemical_formula_sum 'Ga1 Ni2 B1 Ir1'
_symmetry_space_group_name_H-M 'P 1'
_symmetry_Int_Tables_number 1
_symmetry_space_group_name_Hall 'P 1'
_cell_length_a 3.8611
_cell_length_b 3.8611
_cell_length_c 4.0675
_cell_angle_alpha 90.00
_cell_angle_beta 90.00
_cell_angle_gamma 90.00
loop_
_atom_site_label
_atom_site_type_symbol
_atom_site_fract_x
_atom_site_fract_y
_atom_site_fract_z
Ni1 Ni 0.5000 0.0000 0.0000
Ni2 Ni 0.0000 0.5000 0.0000
B1 B 0.0000 0.0000 0.0000
Ga1 Ga 0.5000 0.5000 0.5000
Ir1 Ir 0.0000 0.0000 0.5000

***

# GaNi5B2Ir2 | Alexandria via LeMat-Bulk | PBE | relaxed
# M_tot = 0.000 μB per formula unit
# energy of formation = -0.18 eV per atom
# VASP energy = -6.477 eV per atom
data_GaNi5B2Ir2
_chemical_formula_sum 'Ga2 Ni10 B4 Ir4'
_symmetry_space_group_name_H-M 'P 1'
_symmetry_Int_Tables_number 1
_symmetry_space_group_name_Hall 'P 1'
_cell_length_a 2.8186
_cell_length_b 8.7722
_cell_length_c 8.7722
_cell_angle_alpha 90.00
_cell_angle_beta 90.00
_cell_angle_gamma 90.00
loop_
_atom_site_label
_atom_site_type_symbol
_atom_site_fract_x
_atom_site_fract_y
_atom_site_fract_z
Ni1 Ni 0.5000 0.7235 0.4555
Ni2 Ni 0.5000 0.9555 0.2235
Ni3 Ni 0.5000 0.5000 0.0000
Ni4 Ni 0.5000 0.5445 0.7235
Ni5 Ni 0.5000 0.7765 0.9555
Ni6 Ni 0.5000 0.0000 0.5000
Ni7 Ni 0.5000 0.0445 0.7765
Ni8 Ni 0.5000 0.2235 0.0445
Ni9 Ni 0.5000 0.4555 0.2765
Ni10 Ni 0.5000 0.2765 0.5445
Ir1 Ir 0.0000 0.1964 0.3036
Ir2 Ir 0.0000 0.8036 0.6964
Ir3 Ir 0.0000 0.3036 0.8036
Ir4 Ir 0.0000 0.6964 0.1964
Ga1 Ga 0.0000 0.5000 0.5000
Ga2 Ga 0.0000 0.0000 0.0000
B1 B 0.0000 0.8699 0.3699
B2 B 0.0000 0.6301 0.8699
B3 B 0.0000 0.1301 0.6301
B4 B 0.0000 0.3699 0.1301

***

# GaNiB2Ir | Alexandria via LeMat-Bulk | PBE | relaxed
# M_tot = 0.000 μB per formula unit
# energy of formation = 0.82 eV per atom
# VASP energy = -5.389 eV per atom
data_GaNiB2Ir
_chemical_formula_sum 'Ga1 Ni1 B2 Ir1'
_symmetry_space_group_name_H-M 'P 1'
_symmetry_Int_Tables_number 1
_symmetry_space_group_name_Hall 'P 1'
_cell_length_a 3.9998
_cell_length_b 4.9114
_cell_length_c 3.9998
_cell_angle_alpha 90.00
_cell_angle_beta 90.00
_cell_angle_gamma 90.00
loop_
_atom_site_label
_atom_site_type_symbol
_atom_site_fract_x
_atom_site_fract_y
_atom_site_fract_z
Ni1 Ni 0.5000 0.5000 0.5000
Ga1 Ga 0.0000 0.5000 0.0000
B1 B 0.0000 0.0000 0.5000
B2 B 0.5000 0.0000 0.0000
Ir1 Ir 0.0000 0.0000 0.0000

***

# Ga3Ni4B2Ir3 | Alexandria via LeMat-Bulk | PBE | relaxed
# M_tot = 0.000 μB per formula unit
# energy of formation = -0.14 eV per atom
# VASP energy = -6.152 eV per atom
data_Ga3Ni4B2Ir3
_chemical_formula_sum 'Ga3 Ni4 B2 Ir3'
_symmetry_space_group_name_H-M 'P 1'
_symmetry_Int_Tables_number 1
_symmetry_space_group_name_Hall 'P 1'
_cell_length_a 3.9267
_cell_length_b 4.0188
_cell_length_c 10.4260
_cell_angle_alpha 101.11
_cell_angle_beta 100.85
_cell_angle_gamma 90.00
loop_
_atom_site_label
_atom_site_type_symbol
_atom_site_fract_x
_atom_site_fract_y
_atom_site_fract_z
Ga1 Ga 0.6923 0.6822 0.3644
Ga2 Ga 0.3279 0.3178 0.6356
Ga3 Ga 0.4772 0.5000 0.0000
Ni1 Ni 0.3701 0.9102 0.8204
Ni2 Ni 0.5497 0.0898 0.1796
Ni3 Ni 0.9337 0.7977 0.5953
Ni4 Ni 0.3384 0.2023 0.4047
B1 B 0.0597 0.1118 0.2235
B2 B 0.8362 0.8882 0.7765
Ir1 Ir 0.0988 0.5995 0.1989
Ir2 Ir 0.9440 0.0000 0.0000
Ir3 Ir 0.8998 0.4005 0.8011

***

# Np2Ga2BIr4 | Alexandria via LeMat-Bulk | PBE | relaxed
# M_tot = 6.248 μB per formula unit
# energy of formation = -0.26 eV per atom
# VASP energy = -8.491 eV per atom
data_Np2Ga2BIr4
_chemical_formula_sum 'Np2 Ga2 B1 Ir4'
_symmetry_space_group_name_H-M 'P 1'
_symmetry_Int_Tables_number 1
_symmetry_space_group_name_Hall 'P 1'
_cell_length_a 6.0334
_cell_length_b 6.0334
_cell_length_c 6.0334
_cell_angle_alpha 87.90
_cell_angle_beta 121.22
_cell_angle_gamma 121.22
loop_
_atom_site_label
_atom_site_type_symbol
_atom_site_fract_x
_atom_site_fract_y
_atom_site_fract_z
Ga1 Ga 0.0000 0.3191 0.3191
Ga2 Ga 0.0000 0.6809 0.6809
Np1 Np 0.5000 0.7500 0.2500
Np2 Np 0.5000 0.2500 0.7500
B1 B 0.0000 0.0000 0.0000
Ir1 Ir 0.5026 0.7513 0.7513
Ir2 Ir 0.4974 0.2487 0.2487
Ir3 Ir 0.0000 0.2487 0.7513
Ir4 Ir 0.0000 0.7513 0.2487

***

# GaBIrPd2 | Alexandria via LeMat-Bulk | PBE | relaxed
# M_tot = 0.000 μB per formula unit
# energy of formation = 0.29 eV per atom
# VASP energy = -5.503 eV per atom
data_GaBIrPd2
_chemical_formula_sum 'Ga1 B1 Ir1 Pd2'
_symmetry_space_group_name_H-M 'P 1'
_symmetry_Int_Tables_number 1
_symmetry_space_group_name_Hall 'P 1'
_cell_length_a 4.0890
_cell_length_b 4.2385
_cell_length_c 4.0890
_cell_angle_alpha 90.00
_cell_angle_beta 90.00
_cell_angle_gamma 90.00
loop_
_atom_site_label
_atom_site_type_symbol
_atom_site_fract_x
_atom_site_fract_y
_atom_site_fract_z
Pd1 Pd 0.5000 0.0000 0.0000
Pd2 Pd 0.0000 0.0000 0.5000
Ir1 Ir 0.5000 0.5000 0.5000
B1 B 0.0000 0.0000 0.0000
Ga1 Ga 0.0000 0.5000 0.0000

***

# Pm2Ga2BIr4 | Alexandria via LeMat-Bulk | PBE | relaxed
# M_tot = 0.000 μB per formula unit
# energy of formation = -0.53 eV per atom
# VASP energy = -6.934 eV per atom
data_Pm2Ga2BIr4
_chemical_formula_sum 'Pm2 Ga2 B1 Ir4'
_symmetry_space_group_name_H-M 'P 1'
_symmetry_Int_Tables_number 1
_symmetry_space_group_name_Hall 'P 1'
_cell_length_a 6.1261
_cell_length_b 6.1261
_cell_length_c 6.1261
_cell_angle_alpha 88.37
_cell_angle_beta 120.95
_cell_angle_gamma 120.95
loop_
_atom_site_label
_atom_site_type_symbol
_atom_site_fract_x
_atom_site_fract_y
_atom_site_fract_z
Pm1 Pm 0.5000 0.7500 0.2500
Pm2 Pm 0.5000 0.2500 0.7500
Ir1 Ir 0.5120 0.7560 0.7560
Ir2 Ir 0.0000 0.7560 0.2440
Ir3 Ir 0.4880 0.2440 0.2440
Ir4 Ir 0.0000 0.2440 0.7560
Ga1 Ga 0.0000 0.3387 0.3387
Ga2 Ga 0.0000 0.6613 0.6613
B1 B 0.0000 0.0000 0.0000